# 1
A relaxed KLaW crystal. Source: Alexandria via LeMat-Bulk, functional GGA-PBEsol.

Unit cell a=9.4030 b=9.4030 c=9.4030 alpha=161.86 beta=161.86 gamma=25.77
Closest atoms and distances in Å follow each position.
Fractional positions:
K 0.0000 0.0000 0.0000  4 K 2.97
La 0.7141 0.7141 0.0000  4 La 2.97, 4 W 3.17
W 0.3436 0.3436 0.0000  4 W 2.97, 4 La 3.17

Its energy of formation from the pure elements is 1.12 eV per atom. As for the symmetry: I4mm, No. 107.


# 2
A relaxed KLa2W crystal. Source: Alexandria via LeMat-Bulk, functional GGA-PBEsol.

Unit cell a=5.2825 b=5.2825 c=5.2825 alpha=60.00 beta=60.00 gamma=60.00
Closest atoms and distances in Å follow each position.
Fractional positions:
K 0.0000 0.0000 0.0000  8 La 3.23
La 0.2500 0.2500 0.2500  4 W 3.23, 4 K 3.23
La 0.7500 0.7500 0.7500  4 W 3.23, 4 K 3.23
W 0.5000 0.5000 0.5000  8 La 3.23

Its energy of formation from the pure elements is 0.92 eV per atom. As for the symmetry: Fm-3m, No. 225.


# 3
A relaxed KLa2ZrZn crystal. Source: Alexandria via LeMat-Bulk, functional GGA-PBEsol.

Unit cell a=5.7469 b=5.7469 c=5.2865 alpha=90.00 beta=90.00 gamma=90.00
Closest atoms and distances in Å follow each position.
Fractional positions:
K 0.0000 0.0000 0.0000  8 La 3.90, 4 Zr 4.06
La 0.0000 0.5000 0.5000  2 Zn 2.87
La 0.5000 0.0000 0.5000  2 Zn 2.87
Zr 0.5000 0.5000 0.0000  2 Zn 2.64
Zn 0.5000 0.5000 0.5000  2 Zr 2.64, 4 La 2.87

Its energy of formation from the pure elements is 0.58 eV per atom. As for the symmetry: P4/mmm, No. 123.


# 4
A relaxed KLa4Zr crystal. Source: Alexandria via LeMat-Bulk, functional GGA-PBEsol.

Unit cell a=6.6356 b=6.6356 c=6.6356 alpha=60.00 beta=60.00 gamma=60.00
Closest atoms and distances in Å follow each position.
Fractional positions:
K 0.0000 0.0000 0.0000  12 La 3.91, 4 Zr 4.06
La 0.3813 0.3813 0.3813  6 La 3.15-3.49
La 0.3813 0.3813 0.8560  6 La 3.15-3.49
La 0.3813 0.8560 0.3813  6 La 3.15-3.49
La 0.8560 0.3813 0.3813  6 La 3.15-3.49
Zr 0.7500 0.7500 0.7500  12 La 3.87, 4 K 4.06

Its energy of formation from the pure elements is 0.62 eV per atom. As for the symmetry: F-43m, No. 216.


> Which of these has the lowest energy of formation from the pure elements?

KLa2ZrZn


> Which value of energy of formation from the pure elements does entry 1 give?

1.12 eV per atom


Please write out number 2 again, unchanged.
A relaxed KLa2W crystal. Source: Alexandria via LeMat-Bulk, functional GGA-PBEsol.

Unit cell a=5.2825 b=5.2825 c=5.2825 alpha=60.00 beta=60.00 gamma=60.00
Closest atoms and distances in Å follow each position.
Fractional positions:
K 0.0000 0.0000 0.0000  8 La 3.23
La 0.2500 0.2500 0.2500  4 W 3.23, 4 K 3.23
La 0.7500 0.7500 0.7500  4 W 3.23, 4 K 3.23
W 0.5000 0.5000 0.5000  8 La 3.23

Its energy of formation from the pure elements is 0.92 eV per atom. As for the symmetry: Fm-3m, No. 225.


> Look up the energy of formation from the pure elements of the first one.

1.12 eV per atom